DFT (PBE) results for crystalline AcTbPrGa at its relaxed geometry.

Results
E_tot   -0.151 Ha/atom
V   122.1 Å³/cell
Energy relative to the elements   20 meV/atom
Total magnetization   0.00 μB/f.u.
Calculated density   8.115 g/cm3

Lattice parameters (Å, degrees): 5.568 5.568 5.568 60.00 60.00 60.00
Fractional coordinates of all 4 atoms:
Ga 0.250 0.250 0.250
Ac 0.750 0.750 0.750
Pr 0.500 0.500 0.500
Tb 0.000 0.000 0.000